No. 1
First-principles (PBE-GGA) data for an optimized crystal structure of ScGaPt, as listed in OQMD via LeMat-Bulk.

a b c (Å): 6.3780 4.3731 7.5633
angles (deg): 90.00 90.00 90.00
Last column: nearest neighbours and their distance in Å.
Space group Pnma (No. 62)
Symmetry-distinct sites (fractional):
Sc1 0.0126 0.2500 0.2108 [4 per cell]  5 Pt 2.81-3.00, 6 Ga 2.98-3.08
Ga1 0.1874 0.2500 0.5759 [4 per cell]  4 Pt 2.55-2.70
Pt1 0.2360 0.7500 0.4063 [4 per cell]  4 Ga 2.55-2.70, 1 Sc 2.81

Computed properties:
magnetization = 0.0 Bohr magnetons per cell
final energy = -6.21 eV per atom

***

No. 2
First-principles (PBE-GGA) data for an optimized crystal structure of PrScAsO, as listed in OQMD via LeMat-Bulk.

a b c (Å): 4.2356 5.0344 7.3267
angles (deg): 90.00 90.00 90.00
Last column: nearest neighbours and their distance in Å.
Space group Pmc2_1 (No. 26)
Symmetry-distinct sites (fractional):
Pr1 0.0000 0.1590 0.0000 [2 per cell]  3 O 2.65-2.82
Sc1 0.5000 0.3402 0.3535 [2 per cell]  2 O 2.12
As1 0.5000 0.1593 0.7030 [2 per cell]  3 Sc 2.72-2.75, 4 Pr 3.04
O1 0.0000 0.3294 0.3418 [2 per cell]  2 Sc 2.12

Computed properties:
magnetization = 0.9 Bohr magnetons per cell
final energy = -7.21 eV per atom
offset from the most stable computed form = 0 meV per atom

***

No. 3
First-principles (PBE-GGA) data for an optimized crystal structure of GdMgZn, as listed in OQMD via LeMat-Bulk.

a b c (Å): 4.9717 4.9717 9.9261
angles (deg): 90.00 90.00 120.00
Last column: nearest neighbours and their distance in Å.
Space group P3m1 (No. 156)
Symmetry-distinct sites (fractional):
Gd1 0.0000 0.0000 0.0000 [1 per cell]  4 Zn 2.94-3.08, 3 Gd 3.27
Gd2 0.0000 0.0000 0.3893 [1 per cell]  1 Zn 2.98, 6 Mg 3.16
Gd3 0.6667 0.3333 0.1585 [1 per cell]  4 Mg 3.03-3.30, 3 Gd 3.27
Mg1 0.3333 0.6667 0.2557 [1 per cell]  6 Gd 3.03-3.16, 2 Zn 3.14-3.17
Mg2 0.6667 0.3333 0.5230 [1 per cell]  3 Zn 2.91, 1 Mg 3.01, 3 Gd 3.16
Mg3 0.6667 0.3333 0.8263 [1 per cell]  1 Mg 3.01, 6 Zn 3.07-3.18, 4 Gd 3.30-3.35
Zn1 0.0000 0.0000 0.6895 [1 per cell]  2 Gd 2.98-3.08, 3 Zn 3.10, 6 Mg 3.18-3.31
Zn2 0.3333 0.6667 0.5720 [1 per cell]  4 Mg 2.91-3.14, 3 Zn 3.10
Zn3 0.3333 0.6667 0.9362 [1 per cell]  3 Gd 2.94, 4 Mg 3.07-3.17

Computed properties:
magnetization = 0.0 Bohr magnetons per cell
final energy = -2.50 eV per atom